CeVPO6: relaxed, GGA+U.

Computed properties:
Raw total energy ... -70.52 eV/cell
Magnetic moment ... 2.0 μB per formula unit

```
CeVPO6
1.0
4.9384 -0.0323 -0.0124
2.4416 4.2917 0.0111
-0.0108 0.0223 4.8619
Ce V P O
1 1 1 6
direct
0.0028 0.0027 0.0000
0.6704 0.6704 0.5000
0.3330 0.3331 0.5000
0.0394 0.3484 0.2947
0.3482 0.0393 0.7052
0.6112 0.3491 0.7040
0.0395 0.6062 0.7054
0.3491 0.6114 0.2960
0.6062 0.0396 0.2946
```